1.
# Cs3Tl6Hg5 PBE-GGA optimized geometry
data_Cs3Tl6Hg5
_chemical_formula_sum 'Cs6 Tl12 Hg10'
_cell_length_a 5.320
_cell_length_b 15.976
_cell_length_c 12.848
_cell_angle_alpha 90.00
_cell_angle_beta 90.00
_cell_angle_gamma 90.00
_space_group_name_H-M_alt 'P m m n'
_space_group_IT_number 59
loop_
_space_group_symop_operation_xyz
'x,y,z'
'-x,-y,-z'
'-x+1/2,-y+1/2,z'
'x+1/2,y+1/2,-z'
'x+1/2,-y,-z'
'-x+1/2,y,z'
'-x,y+1/2,-z'
'x,-y+1/2,z'
loop_
_atom_site_label
_atom_site_type_symbol
_atom_site_fract_x
_atom_site_fract_y
_atom_site_fract_z
Cs1 Cs 0.250 0.098 0.248
Cs2 Cs 0.250 0.750 0.260
Tl1 Tl 0.250 0.054 0.581
Tl2 Tl 0.250 0.250 0.502
Tl3 Tl 0.250 0.250 0.973
Tl4 Tl 0.250 0.571 0.015
Hg1 Hg 0.250 0.081 0.842
Hg2 Hg 0.250 0.638 0.519
Hg3 Hg 0.250 0.750 0.911
# Total magnetization, μB/atom: 0.000
# Energy relative to the elements, eV per atom: -0.12
# Crystal system: orthorhombic

---

2.
# Hf2Mg2Ir3 PBE-GGA optimized geometry
data_Hf2Mg2Ir3
_chemical_formula_sum 'Hf2 Mg2 Ir3'
_cell_length_a 4.566
_cell_length_b 4.567
_cell_length_c 7.653
_cell_angle_alpha 107.14
_cell_angle_beta 90.09
_cell_angle_gamma 119.95
_space_group_name_H-M_alt 'P -1'
_space_group_IT_number 2
_space_group_name_Hall '-P 1'
loop_
_atom_site_label
_atom_site_type_symbol
_atom_site_fract_x
_atom_site_fract_y
_atom_site_fract_z
Hf1 Hf 0.117 0.235 0.353
Mg1 Mg 0.368 0.738 0.106
Ir1 Ir 0.243 0.484 0.727
Ir2 Ir 0.500 0.000 0.500
# Total magnetization, μB/atom: 0.000
# Energy relative to the elements, eV per atom: -0.71
# Crystal system: triclinic

---

3.
# TlReTc3 PBE-GGA optimized geometry
data_TlReTc3
_chemical_formula_sum 'Tl1 Re1 Tc3'
_cell_length_a 4.749
_cell_length_b 4.749
_cell_length_c 4.749
_cell_angle_alpha 90.00
_cell_angle_beta 90.00
_cell_angle_gamma 90.00
_space_group_name_H-M_alt 'P m -3 m'
_space_group_IT_number 221
_space_group_name_Hall '-P 4 2 3'
loop_
_atom_site_label
_atom_site_type_symbol
_atom_site_fract_x
_atom_site_fract_y
_atom_site_fract_z
Tl1 Tl 0.000 0.000 0.000
Re1 Re 0.500 0.500 0.500
Tc1 Tc 0.000 0.500 0.500
# Total magnetization, μB/atom: 0.537
# Excess energy over the best structure of this formula in the dataset, meV per atom: 0.0
# Energy relative to the elements, eV per atom: 1.57
# Crystal system: cubic

---

4.
# CeMgCo PBE-GGA optimized geometry
data_CeMgCo
_chemical_formula_sum 'Ce4 Mg4 Co4'
_cell_length_a 6.133
_cell_length_b 4.622
_cell_length_c 9.021
_cell_angle_alpha 90.00
_cell_angle_beta 90.00
_cell_angle_gamma 90.00
_space_group_name_H-M_alt 'P m c 21'
_space_group_IT_number 26
_space_group_name_Hall 'P 2c -2'
loop_
_atom_site_label
_atom_site_type_symbol
_atom_site_fract_x
_atom_site_fract_y
_atom_site_fract_z
Ce1 Ce 0.000 0.057 0.000
Ce2 Ce 0.500 0.134 0.469
Mg1 Mg 0.247 0.480 0.730
Co1 Co 0.000 0.412 0.478
Co2 Co 0.500 0.019 0.234
# Total magnetization, μB/atom: 0.000
# Energy relative to the elements, eV per atom: -0.07
# Crystal system: orthorhombic

---

5.
# PuRh3 PBE-GGA optimized geometry
data_PuRh3
_chemical_formula_sum 'Pu6 Rh18'
_cell_length_a 9.090
_cell_length_b 5.254
_cell_length_c 9.285
_cell_angle_alpha 90.00
_cell_angle_beta 109.05
_cell_angle_gamma 90.00
_space_group_name_H-M_alt 'C 1 2/m 1'
_space_group_IT_number 12
_space_group_name_Hall '-C 2y'
loop_
_atom_site_label
_atom_site_type_symbol
_atom_site_fract_x
_atom_site_fract_y
_atom_site_fract_z
Pu1 Pu 0.000 0.000 0.000
Pu2 Pu 0.140 0.000 0.419
Rh1 Rh 0.000 0.500 0.500
Rh2 Rh 0.085 0.500 0.251
Rh3 Rh 0.166 0.500 0.999
Rh4 Rh 0.167 0.248 0.749
# Total magnetization, μB/atom: 0.347
# Energy relative to the elements, eV per atom: -0.35
# Crystal system: monoclinic

---

6.
# Ca2PbF PBE-GGA optimized geometry
data_Ca2PbF
_chemical_formula_sum 'Ca8 Pb4 F4'
_cell_length_a 7.298
_cell_length_b 7.298
_cell_length_c 7.995
_cell_angle_alpha 90.00
_cell_angle_beta 90.00
_cell_angle_gamma 90.00
_space_group_name_H-M_alt 'I -4 2 d'
_space_group_IT_number 122
_space_group_name_Hall 'I -4 2bw'
loop_
_atom_site_label
_atom_site_type_symbol
_atom_site_fract_x
_atom_site_fract_y
_atom_site_fract_z
Ca1 Ca 0.149 0.250 0.125
Pb1 Pb 0.000 0.000 0.500
F1 F 0.000 0.000 0.000
# Total magnetization, μB/atom: 0.000
# Excess energy over the best structure of this formula in the dataset, meV per atom: 145.7
# Formation energy (no corrections), eV/atom: -1.58
# Crystal system: tetragonal

---

Q: Which N(E_F) values were calculated for the entries above? A: 15.7, 3.4, 5.3, 12.3, 68.1, 18.3, in states/eV per cell.